Model i:
Density functional theory data (SCAN) for a PBEsol-optimized structure of MgTl2Pt.

Values from the calculation:
ρ   11.95 g/cm3
Total magnetization   0.00 μB per formula unit

```
data_MgTl2Pt
_chemical_formula_sum 'Mg1 Tl2 Pt1'
_cell_length_a 3.326
_cell_length_b 3.326
_cell_length_c 7.892
_cell_angle_alpha 90.00
_cell_angle_beta 90.00
_cell_angle_gamma 90.00
_symmetry_space_group_name_H-M 'P 4 m m'
_symmetry_Int_Tables_number 99
loop_
_symmetry_equiv_pos_as_xyz
'x,y,z'
'-y,x,z'
'-x,-y,z'
'y,-x,z'
'-x,y,z'
'y,x,z'
'x,-y,z'
'-y,-x,z'
loop_
_atom_site_label
_atom_site_type_symbol
_atom_site_fract_x
_atom_site_fract_y
_atom_site_fract_z
Mg1 Mg 0.000 0.000 0.000
Tl1 Tl 0.000 0.000 0.396
Tl2 Tl 0.500 0.500 0.719
Pt1 Pt 0.500 0.500 0.162
```

***

Model ii:
Density functional theory data (SCAN) for a PBEsol-optimized structure of MgTl2Pt.

Values from the calculation:
ρ   12.73 g/cm3
Total magnetization   0.00 μB per formula unit

```
data_MgTl2Pt
_chemical_formula_sum 'Mg4 Tl8 Pt4'
_cell_length_a 6.894
_cell_length_b 6.894
_cell_length_c 6.894
_cell_angle_alpha 90.00
_cell_angle_beta 90.00
_cell_angle_gamma 90.00
_symmetry_space_group_name_H-M 'F m -3 m'
_symmetry_Int_Tables_number 225
_symmetry_space_group_name_Hall '-F 4 2 3'
loop_
_atom_site_label
_atom_site_type_symbol
_atom_site_fract_x
_atom_site_fract_y
_atom_site_fract_z
Mg1 Mg 0.000 0.000 0.000
Tl1 Tl 0.250 0.250 0.250
Pt1 Pt 0.000 0.000 0.500
```

***

Computed energies relative to the best structure, in meV per atom: model i 0; model ii 244

***

Model i:
Density functional theory data (SCAN) for a PBEsol-optimized structure of Mg2PtW.

Values from the calculation:
ρ   10.99 g/cm3
Total magnetization   2.58 μB per formula unit

```
data_Mg2PtW
_chemical_formula_sum 'Mg8 Pt4 W4'
_cell_length_a 6.369
_cell_length_b 6.369
_cell_length_c 6.369
_cell_angle_alpha 90.00
_cell_angle_beta 90.00
_cell_angle_gamma 90.00
_symmetry_space_group_name_H-M 'F m -3 m'
_symmetry_Int_Tables_number 225
_symmetry_space_group_name_Hall '-F 4 2 3'
loop_
_atom_site_label
_atom_site_type_symbol
_atom_site_fract_x
_atom_site_fract_y
_atom_site_fract_z
Mg1 Mg 0.250 0.250 0.250
Pt1 Pt 0.000 0.000 0.000
W1 W 0.000 0.000 0.500
```

***

Model ii:
Density functional theory data (SCAN) for a PBEsol-optimized structure of Mg2PtW.

Values from the calculation:
ρ   10.89 g/cm3
Total magnetization   1.85 μB per formula unit

```
data_Mg2PtW
_chemical_formula_sum 'Mg8 Pt4 W4'
_cell_length_a 6.388
_cell_length_b 6.388
_cell_length_c 6.388
_cell_angle_alpha 90.00
_cell_angle_beta 90.00
_cell_angle_gamma 90.00
_symmetry_space_group_name_H-M 'F -4 3 m'
_symmetry_Int_Tables_number 216
_symmetry_space_group_name_Hall 'F -4 2 3'
loop_
_atom_site_label
_atom_site_type_symbol
_atom_site_fract_x
_atom_site_fract_y
_atom_site_fract_z
Mg1 Mg 0.000 0.000 0.000
Mg2 Mg 0.250 0.250 0.250
Pt1 Pt 0.250 0.250 0.750
W1 W 0.000 0.000 0.500
```

***

Model iii:
Density functional theory data (SCAN) for a PBEsol-optimized structure of Mg2PtW.

Values from the calculation:
ρ   10.91 g/cm3
Total magnetization   0.00 μB per formula unit

```
data_Mg2PtW
_chemical_formula_sum 'Mg2 Pt1 W1'
_cell_length_a 2.851
_cell_length_b 4.717
_cell_length_c 4.837
_cell_angle_alpha 90.00
_cell_angle_beta 90.00
_cell_angle_gamma 90.00
_symmetry_space_group_name_H-M 'P m m m'
_symmetry_Int_Tables_number 47
loop_
_symmetry_equiv_pos_as_xyz
'x,y,z'
'-x,-y,-z'
'-x,-y,z'
'x,y,-z'
'x,-y,-z'
'-x,y,z'
'-x,y,-z'
'x,-y,z'
loop_
_atom_site_label
_atom_site_type_symbol
_atom_site_fract_x
_atom_site_fract_y
_atom_site_fract_z
Mg1 Mg 0.000 0.000 0.000
Mg2 Mg 0.500 0.000 0.500
Pt1 Pt 0.000 0.500 0.500
W1 W 0.500 0.500 0.000
```

***

Computed energies relative to the best structure, in meV per atom: model i 150; model ii 47; model iii 0

***

Model i:
Density functional theory data (SCAN) for a PBEsol-optimized structure of Mg2PtW.

Values from the calculation:
ρ   10.99 g/cm3
Total magnetization   0.93 μB per formula unit

```
data_Mg2PtW
_chemical_formula_sum 'Mg2 Pt1 W1'
_cell_length_a 3.944
_cell_length_b 3.944
_cell_length_c 4.152
_cell_angle_alpha 90.00
_cell_angle_beta 90.00
_cell_angle_gamma 90.00
_symmetry_space_group_name_H-M 'P 4/m m m'
_symmetry_Int_Tables_number 123
_symmetry_space_group_name_Hall '-P 4 2'
loop_
_atom_site_label
_atom_site_type_symbol
_atom_site_fract_x
_atom_site_fract_y
_atom_site_fract_z
Mg1 Mg 0.000 0.500 0.000
Pt1 Pt 0.000 0.000 0.500
W1 W 0.500 0.500 0.500
```

***

Model ii:
Density functional theory data (SCAN) for a PBEsol-optimized structure of Mg2PtW.

Values from the calculation:
ρ   10.33 g/cm3
Total magnetization   0.04 μB per formula unit

```
data_Mg2PtW
_chemical_formula_sum 'Mg2 Pt1 W1'
_cell_length_a 2.838
_cell_length_b 2.838
_cell_length_c 8.535
_cell_angle_alpha 90.00
_cell_angle_beta 90.00
_cell_angle_gamma 90.00
_symmetry_space_group_name_H-M 'P 4 m m'
_symmetry_Int_Tables_number 99
loop_
_symmetry_equiv_pos_as_xyz
'x,y,z'
'-y,x,z'
'-x,-y,z'
'y,-x,z'
'-x,y,z'
'y,x,z'
'x,-y,z'
'-y,-x,z'
loop_
_atom_site_label
_atom_site_type_symbol
_atom_site_fract_x
_atom_site_fract_y
_atom_site_fract_z
Mg1 Mg 0.000 0.000 0.000
Mg2 Mg 0.500 0.500 0.311
Pt1 Pt 0.000 0.000 0.534
W1 W 0.500 0.500 0.752
```

***

Computed energies relative to the best structure, in meV per atom: model i 148; model ii 0

***

Model i:
Density functional theory data (SCAN) for a PBEsol-optimized structure of RbMgSn3.

Values from the calculation:
ρ   4.65 g/cm3
Total magnetization   0.00 μB per formula unit

```
data_RbMgSn3
_chemical_formula_sum 'Rb1 Mg1 Sn3'
_cell_length_a 5.500
_cell_length_b 5.500
_cell_length_c 5.500
_cell_angle_alpha 90.00
_cell_angle_beta 90.00
_cell_angle_gamma 90.00
_symmetry_space_group_name_H-M 'P m -3 m'
_symmetry_Int_Tables_number 221
_symmetry_space_group_name_Hall '-P 4 2 3'
loop_
_atom_site_label
_atom_site_type_symbol
_atom_site_fract_x
_atom_site_fract_y
_atom_site_fract_z
Rb1 Rb 0.000 0.000 0.000
Mg1 Mg 0.500 0.500 0.500
Sn1 Sn 0.000 0.500 0.500
```

***

Model ii:
Density functional theory data (SCAN) for a PBEsol-optimized structure of RbMgSn3.

Values from the calculation:
ρ   3.74 g/cm3
Total magnetization   0.00 μB per formula unit

```
data_RbMgSn3
_chemical_formula_sum 'Rb1 Mg1 Sn3'
_cell_length_a 5.915
_cell_length_b 5.915
_cell_length_c 5.915
_cell_angle_alpha 90.00
_cell_angle_beta 90.00
_cell_angle_gamma 90.00
_symmetry_space_group_name_H-M 'P m -3 m'
_symmetry_Int_Tables_number 221
_symmetry_space_group_name_Hall '-P 4 2 3'
loop_
_atom_site_label
_atom_site_type_symbol
_atom_site_fract_x
_atom_site_fract_y
_atom_site_fract_z
Rb1 Rb 0.000 0.000 0.000
Mg1 Mg 0.500 0.500 0.500
Sn1 Sn 0.000 0.000 0.500
```

***

Computed energies relative to the best structure, in meV per atom: model i 0; model ii 1251

***

Model i:
Density functional theory data (SCAN) for a PBEsol-optimized structure of MgReRu.

Values from the calculation:
ρ   11.36 g/cm3
Total magnetization   0.00 μB per formula unit

```
data_MgReRu
_chemical_formula_sum 'Mg1 Re1 Ru1'
_cell_length_a 2.7767
_cell_length_b 2.7767
_cell_length_c 6.8193
_cell_angle_alpha 90.00
_cell_angle_beta 90.00
_cell_angle_gamma 120.00
_symmetry_space_group_name_H-M 'P 3 m 1'
_symmetry_Int_Tables_number 156
loop_
_symmetry_equiv_pos_as_xyz
'x,y,z'
'-y,x-y,z'
'-x+y,-x,z'
'-y,-x,z'
'-x+y,y,z'
'x,x-y,z'
loop_
_atom_site_label
_atom_site_type_symbol
_atom_site_fract_x
_atom_site_fract_y
_atom_site_fract_z
Mg1 Mg 0.0000 0.0000 0.0000
Re1 Re 0.6667 0.3333 0.6413
Ru1 Ru 0.3333 0.6667 0.3458
```

***

Model ii:
Density functional theory data (SCAN) for a PBEsol-optimized structure of MgReRu.

Values from the calculation:
ρ   10.04 g/cm3
Total magnetization   0.00 μB per formula unit

```
data_MgReRu
_chemical_formula_sum 'Mg4 Re4 Ru4'
_cell_length_a 5.907
_cell_length_b 5.907
_cell_length_c 5.907
_cell_angle_alpha 90.00
_cell_angle_beta 90.00
_cell_angle_gamma 90.00
_symmetry_space_group_name_H-M 'F -4 3 m'
_symmetry_Int_Tables_number 216
_symmetry_space_group_name_Hall 'F -4 2 3'
loop_
_atom_site_label
_atom_site_type_symbol
_atom_site_fract_x
_atom_site_fract_y
_atom_site_fract_z
Mg1 Mg 0.000 0.000 0.000
Re1 Re 0.250 0.250 0.750
Ru1 Ru 0.000 0.000 0.500
```

***

Computed energies relative to the best structure, in meV per atom: model i 0; model ii 474

***

Model i:
Density functional theory data (SCAN) for a PBEsol-optimized structure of MgRe2Sb.

Values from the calculation:
ρ   12.46 g/cm3
Total magnetization   0.00 μB per formula unit

```
data_MgRe2Sb
_chemical_formula_sum 'Mg1 Re2 Sb1'
_cell_length_a 2.872
_cell_length_b 4.549
_cell_length_c 5.301
_cell_angle_alpha 90.00
_cell_angle_beta 93.93
_cell_angle_gamma 90.00
_symmetry_space_group_name_H-M 'P 1 2/m 1'
_symmetry_Int_Tables_number 10
loop_
_symmetry_equiv_pos_as_xyz
'x,y,z'
'-x,-y,-z'
'-x,y,-z'
'x,-y,z'
loop_
_atom_site_label
_atom_site_type_symbol
_atom_site_fract_x
_atom_site_fract_y
_atom_site_fract_z
Mg1 Mg 0.000 0.000 0.000
Re1 Re 0.350 0.500 0.780
Sb1 Sb 0.500 0.000 0.500
```

***

Model ii:
Density functional theory data (SCAN) for a PBEsol-optimized structure of MgRe2Sb.

Values from the calculation:
ρ   12.62 g/cm3
Total magnetization   0.00 μB per formula unit

```
data_MgRe2Sb
_chemical_formula_sum 'Mg1 Re2 Sb1'
_cell_length_a 2.921
_cell_length_b 4.164
_cell_length_c 5.611
_cell_angle_alpha 90.00
_cell_angle_beta 90.00
_cell_angle_gamma 90.00
_symmetry_space_group_name_H-M 'P m m m'
_symmetry_Int_Tables_number 47
loop_
_symmetry_equiv_pos_as_xyz
'x,y,z'
'-x,-y,-z'
'-x,-y,z'
'x,y,-z'
'x,-y,-z'
'-x,y,z'
'-x,y,-z'
'x,-y,z'
loop_
_atom_site_label
_atom_site_type_symbol
_atom_site_fract_x
_atom_site_fract_y
_atom_site_fract_z
Mg1 Mg 0.000 0.000 0.000
Re1 Re 0.500 0.500 0.215
Sb1 Sb 0.000 0.000 0.500
```

***

Computed energies relative to the best structure, in meV per atom: model i 0; model ii 133

***

Model i:
Density functional theory data (SCAN) for a PBEsol-optimized structure of MgRe2Sb.

Values from the calculation:
ρ   13.06 g/cm3
Total magnetization   0.00 μB per formula unit

```
data_MgRe2Sb
_chemical_formula_sum 'Mg1 Re2 Sb1'
_cell_length_a 3.226
_cell_length_b 3.226
_cell_length_c 6.333
_cell_angle_alpha 90.00
_cell_angle_beta 90.00
_cell_angle_gamma 90.00
_symmetry_space_group_name_H-M 'P 4/m m m'
_symmetry_Int_Tables_number 123
_symmetry_space_group_name_Hall '-P 4 2'
loop_
_atom_site_label
_atom_site_type_symbol
_atom_site_fract_x
_atom_site_fract_y
_atom_site_fract_z
Mg1 Mg 0.000 0.000 0.000
Re1 Re 0.500 0.500 0.265
Sb1 Sb 0.000 0.000 0.500
```

***

Model ii:
Density functional theory data (SCAN) for a PBEsol-optimized structure of MgRe2Sb.

Values from the calculation:
ρ   12.73 g/cm3
Total magnetization   0.00 μB per formula unit

```
data_MgRe2Sb
_chemical_formula_sum 'Mg1 Re2 Sb1'
_cell_length_a 2.955
_cell_length_b 4.431
_cell_length_c 5.341
_cell_angle_alpha 90.00
_cell_angle_beta 104.75
_cell_angle_gamma 90.00
_symmetry_space_group_name_H-M 'P 1 m 1'
_symmetry_Int_Tables_number 6
loop_
_symmetry_equiv_pos_as_xyz
'x,y,z'
'x,-y,z'
loop_
_atom_site_label
_atom_site_type_symbol
_atom_site_fract_x
_atom_site_fract_y
_atom_site_fract_z
Mg1 Mg 0.000 0.000 0.000
Re1 Re 0.316 0.000 0.498
Re2 Re 0.692 0.500 0.325
Sb1 Sb 0.409 0.500 0.790
```

***

Computed energies relative to the best structure, in meV per atom: model i 216; model ii 0

***

Model i:
Density functional theory data (SCAN) for a PBEsol-optimized structure of Mg2TaRe.

Values from the calculation:
ρ   10.23 g/cm3
Total magnetization   0.00 μB per formula unit

```
data_Mg2TaRe
_chemical_formula_sum 'Mg4 Ta2 Re2'
_cell_length_a 5.421
_cell_length_b 9.454
_cell_length_c 2.707
_cell_angle_alpha 90.00
_cell_angle_beta 103.35
_cell_angle_gamma 90.00
_symmetry_space_group_name_H-M 'C 1 2/m 1'
_symmetry_Int_Tables_number 12
loop_
_symmetry_equiv_pos_as_xyz
'x,y,z'
'-x,-y,-z'
'-x,y,-z'
'x,-y,z'
'x+1/2,y+1/2,z'
'-x+1/2,-y+1/2,-z'
'-x+1/2,y+1/2,-z'
'x+1/2,-y+1/2,z'
loop_
_atom_site_label
_atom_site_type_symbol
_atom_site_fract_x
_atom_site_fract_y
_atom_site_fract_z
Mg1 Mg 0.250 0.250 0.000
Ta1 Ta 0.000 0.000 0.500
Re1 Re 0.000 0.500 0.500
```

***

Model ii:
Density functional theory data (SCAN) for a PBEsol-optimized structure of Mg2TaRe.

Values from the calculation:
ρ   9.92 g/cm3
Total magnetization   0.01 μB per formula unit

```
data_Mg2TaRe
_chemical_formula_sum 'Mg2 Ta1 Re1'
_cell_length_a 2.730
_cell_length_b 4.282
_cell_length_c 5.955
_cell_angle_alpha 90.00
_cell_angle_beta 90.00
_cell_angle_gamma 90.00
_symmetry_space_group_name_H-M 'P m m 2'
_symmetry_Int_Tables_number 25
loop_
_symmetry_equiv_pos_as_xyz
'x,y,z'
'-x,-y,z'
'-x,y,z'
'x,-y,z'
loop_
_atom_site_label
_atom_site_type_symbol
_atom_site_fract_x
_atom_site_fract_y
_atom_site_fract_z
Mg1 Mg 0.000 0.000 0.000
Mg2 Mg 0.500 0.500 0.248
Ta1 Ta 0.500 0.500 0.719
Re1 Re 0.000 0.000 0.512
```

***

Computed energies relative to the best structure, in meV per atom: model i 0; model ii 36